Entry 1:
Material: Tb2Ce4Bi3N2
Method: DFT, GGA-PBE
State: optimized geometry

Structure (CIF):
```
data_Tb2Ce4Bi3N2
_chemical_formula_sum 'Tb4 Ce8 Bi6 N4'
_cell_length_a 4.710
_cell_length_b 4.710
_cell_length_c 26.735
_cell_angle_alpha 90.00
_cell_angle_beta 90.00
_cell_angle_gamma 90.00
_symmetry_space_group_name_H-M 'I 4/m m m'
_symmetry_Int_Tables_number 139
_symmetry_space_group_name_Hall '-I 4 2'
loop_
_atom_site_label
_atom_site_type_symbol
_atom_site_fract_x
_atom_site_fract_y
_atom_site_fract_z
Tb1 Tb 0.000 0.000 0.194
Ce1 Ce 0.000 0.500 0.087
Bi1 Bi 0.000 0.000 0.317
Bi2 Bi 0.000 0.000 0.500
N1 N 0.000 0.000 0.108
```

M_tot (Bohr magnetons per cell): 8.33
Crystal system: tetragonal
N(E_F) (states/eV per cell): 44.73
Calculated volume (Å³ per atom): 26.96
E_form (uncorrected) (eV/atom): -0.97

Entry 2:
Material: Tb4Ce2Bi3N2
Method: DFT, GGA-PBE
State: optimized geometry

Structure (CIF):
```
data_Tb4Ce2Bi3N2
_chemical_formula_sum 'Tb8 Ce4 Bi6 N4'
_cell_length_a 4.741
_cell_length_b 4.741
_cell_length_c 26.030
_cell_angle_alpha 90.00
_cell_angle_beta 90.00
_cell_angle_gamma 90.00
_symmetry_space_group_name_H-M 'I 4/m m m'
_symmetry_Int_Tables_number 139
_symmetry_space_group_name_Hall '-I 4 2'
loop_
_atom_site_label
_atom_site_type_symbol
_atom_site_fract_x
_atom_site_fract_y
_atom_site_fract_z
Tb1 Tb 0.000 0.500 0.084
Ce1 Ce 0.000 0.000 0.190
Bi1 Bi 0.000 0.000 0.323
Bi2 Bi 0.000 0.000 0.500
N1 N 0.000 0.000 0.103
```

M_tot (Bohr magnetons per cell): 4.92
Crystal system: tetragonal
N(E_F) (states/eV per cell): 30.88
Calculated volume (Å³ per atom): 26.59
E_form (uncorrected) (eV/atom): -1.03

Entry 3:
Material: TbCeBiN
Method: DFT, GGA-PBE
State: optimized geometry

Structure (CIF):
```
data_TbCeBiN
_chemical_formula_sum 'Tb2 Ce2 Bi2 N2'
_cell_length_a 4.634
_cell_length_b 4.634
_cell_length_c 9.153
_cell_angle_alpha 90.00
_cell_angle_beta 90.00
_cell_angle_gamma 90.00
_symmetry_space_group_name_H-M 'P 4/n m m'
_symmetry_Int_Tables_number 129
loop_
_symmetry_equiv_pos_as_xyz
'x,y,z'
'-x,-y,-z'
'-y+1/2,x,z'
'y+1/2,-x,-z'
'-x+1/2,-y+1/2,z'
'x+1/2,y+1/2,-z'
'y,-x+1/2,z'
'-y,x+1/2,-z'
'x+1/2,-y,-z'
'-x+1/2,y,z'
'-y,-x,-z'
'y,x,z'
'-x,y+1/2,-z'
'x,-y+1/2,z'
'y+1/2,x+1/2,-z'
'-y+1/2,-x+1/2,z'
loop_
_atom_site_label
_atom_site_type_symbol
_atom_site_fract_x
_atom_site_fract_y
_atom_site_fract_z
Tb1 Tb 0.250 0.250 0.172
Ce1 Ce 0.250 0.750 0.500
Bi1 Bi 0.250 0.250 0.810
N1 N 0.250 0.250 0.414
```

M_tot (Bohr magnetons per cell): 1.38
Crystal system: tetragonal
N(E_F) (states/eV per cell): 9.13
Calculated volume (Å³ per atom): 24.56
E_form (uncorrected) (eV/atom): -1.18

Entry 4:
Material: TbCeBiN2
Method: DFT, GGA-PBE
State: optimized geometry

Structure (CIF):
```
data_TbCeBiN2
_chemical_formula_sum 'Tb4 Ce4 Bi4 N8'
_cell_length_a 5.596
_cell_length_b 14.537
_cell_length_c 5.614
_cell_angle_alpha 90.00
_cell_angle_beta 90.00
_cell_angle_gamma 90.00
_symmetry_space_group_name_H-M 'C m c m'
_symmetry_Int_Tables_number 63
_symmetry_space_group_name_Hall '-C 2c 2'
loop_
_atom_site_label
_atom_site_type_symbol
_atom_site_fract_x
_atom_site_fract_y
_atom_site_fract_z
Tb1 Tb 0.000 0.074 0.250
Ce1 Ce 0.000 0.427 0.250
Bi1 Bi 0.000 0.249 0.750
N1 N 0.243 0.500 0.000
```

M_tot (Bohr magnetons per cell): 0.00
Crystal system: orthorhombic
N(E_F) (states/eV per cell): 16.98
Calculated volume (Å³ per atom): 22.84
E_form (uncorrected) (eV/atom): -1.11

Entry 5:
Material: CeBiTe2N
Method: DFT, GGA-PBE
State: optimized geometry

Structure (CIF):
```
data_CeBiTe2N
_chemical_formula_sum 'Ce2 Bi2 Te4 N2'
_cell_length_a 4.173
_cell_length_b 4.173
_cell_length_c 16.558
_cell_angle_alpha 90.00
_cell_angle_beta 90.00
_cell_angle_gamma 90.00
_symmetry_space_group_name_H-M 'P 4/n m m'
_symmetry_Int_Tables_number 129
loop_
_symmetry_equiv_pos_as_xyz
'x,y,z'
'-x,-y,-z'
'-y+1/2,x,z'
'y+1/2,-x,-z'
'-x+1/2,-y+1/2,z'
'x+1/2,y+1/2,-z'
'y,-x+1/2,z'
'-y,x+1/2,-z'
'x+1/2,-y,-z'
'-x+1/2,y,z'
'-y,-x,-z'
'y,x,z'
'-x,y+1/2,-z'
'x,-y+1/2,z'
'y+1/2,x+1/2,-z'
'-y+1/2,-x+1/2,z'
loop_
_atom_site_label
_atom_site_type_symbol
_atom_site_fract_x
_atom_site_fract_y
_atom_site_fract_z
Ce1 Ce 0.250 0.250 0.064
Bi1 Bi 0.250 0.250 0.651
Te1 Te 0.250 0.250 0.409
Te2 Te 0.250 0.250 0.828
N1 N 0.250 0.750 0.000
```

M_tot (Bohr magnetons per cell): 0.22
Crystal system: tetragonal
Calculated volume (Å³ per atom): 28.83
E_form (uncorrected) (eV/atom): -0.82

Entry 6:
Material: Ce2Th4Bi3N2
Method: DFT, GGA-PBE
State: optimized geometry

Structure (CIF):
```
data_Ce2Th4Bi3N2
_chemical_formula_sum 'Ce4 Th8 Bi6 N4'
_cell_length_a 4.809
_cell_length_b 4.809
_cell_length_c 27.131
_cell_angle_alpha 90.00
_cell_angle_beta 90.00
_cell_angle_gamma 90.00
_symmetry_space_group_name_H-M 'I 4/m m m'
_symmetry_Int_Tables_number 139
_symmetry_space_group_name_Hall '-I 4 2'
loop_
_atom_site_label
_atom_site_type_symbol
_atom_site_fract_x
_atom_site_fract_y
_atom_site_fract_z
Ce1 Ce 0.000 0.000 0.196
Th1 Th 0.000 0.500 0.086
Bi1 Bi 0.000 0.000 0.321
Bi2 Bi 0.000 0.000 0.500
N1 N 0.000 0.000 0.108
```

M_tot (Bohr magnetons per cell): 5.99
Crystal system: tetragonal
N(E_F) (states/eV per cell): 41.82
Calculated volume (Å³ per atom): 28.52
E_form (uncorrected) (eV/atom): -0.83

Entry 7:
Material: CeYBiN2
Method: DFT, GGA-PBE
State: optimized geometry

Structure (CIF):
```
data_CeYBiN2
_chemical_formula_sum 'Ce4 Y4 Bi4 N8'
_cell_length_a 5.607
_cell_length_b 14.454
_cell_length_c 5.628
_cell_angle_alpha 90.00
_cell_angle_beta 90.00
_cell_angle_gamma 90.00
_symmetry_space_group_name_H-M 'C m c m'
_symmetry_Int_Tables_number 63
_symmetry_space_group_name_Hall '-C 2c 2'
loop_
_atom_site_label
_atom_site_type_symbol
_atom_site_fract_x
_atom_site_fract_y
_atom_site_fract_z
Ce1 Ce 0.000 0.073 0.250
Y1 Y 0.000 0.427 0.250
Bi1 Bi 0.000 0.251 0.750
N1 N 0.242 0.000 0.000
```

M_tot (Bohr magnetons per cell): 0.00
Crystal system: orthorhombic
N(E_F) (states/eV per cell): 17.11
Calculated volume (Å³ per atom): 22.81
E_form (uncorrected) (eV/atom): -1.10

Entry 8:
Material: Ce4Y2Bi3N2
Method: DFT, GGA-PBE
State: optimized geometry

Structure (CIF):
```
data_Ce4Y2Bi3N2
_chemical_formula_sum 'Ce8 Y4 Bi6 N4'
_cell_length_a 4.711
_cell_length_b 4.711
_cell_length_c 26.657
_cell_angle_alpha 90.00
_cell_angle_beta 90.00
_cell_angle_gamma 90.00
_symmetry_space_group_name_H-M 'I 4/m m m'
_symmetry_Int_Tables_number 139
_symmetry_space_group_name_Hall '-I 4 2'
loop_
_atom_site_label
_atom_site_type_symbol
_atom_site_fract_x
_atom_site_fract_y
_atom_site_fract_z
Ce1 Ce 0.000 0.500 0.087
Y1 Y 0.000 0.000 0.194
Bi1 Bi 0.000 0.000 0.316
Bi2 Bi 0.000 0.000 0.500
N1 N 0.000 0.000 0.108
```

M_tot (Bohr magnetons per cell): 8.39
Crystal system: tetragonal
N(E_F) (states/eV per cell): 44.67
Calculated volume (Å³ per atom): 26.89
E_form (uncorrected) (eV/atom): -0.97

Entry 9:
Material: NaCe5Bi6
Method: DFT, GGA-PBE
State: optimized geometry

Structure (CIF):
```
data_NaCe5Bi6
_chemical_formula_sum 'Na2 Ce10 Bi12'
_cell_length_a 7.991
_cell_length_b 13.820
_cell_length_c 7.963
_cell_angle_alpha 90.00
_cell_angle_beta 109.41
_cell_angle_gamma 90.00
_symmetry_space_group_name_H-M 'C 1 2/m 1'
_symmetry_Int_Tables_number 12
loop_
_symmetry_equiv_pos_as_xyz
'x,y,z'
'-x,-y,-z'
'-x,y,-z'
'x,-y,z'
'x+1/2,y+1/2,z'
'-x+1/2,-y+1/2,-z'
'-x+1/2,y+1/2,-z'
'x+1/2,-y+1/2,z'
loop_
_atom_site_label
_atom_site_type_symbol
_atom_site_fract_x
_atom_site_fract_y
_atom_site_fract_z
Na1 Na 0.000 0.000 0.000
Ce1 Ce 0.000 0.163 0.500
Ce2 Ce 0.000 0.332 0.000
Ce3 Ce 0.000 0.500 0.500
Bi1 Bi 0.243 0.500 0.252
Bi2 Bi 0.245 0.330 0.746
```

M_tot (Bohr magnetons per cell): 6.10
ΔH_f (0 K) (meV/atom): -678
Crystal system: monoclinic
N(E_F) (states/eV per cell): 48.69
Calculated volume (Å³ per atom): 34.56

Entry 10:
Material: NaCe3Bi12
Method: DFT, GGA-PBE
State: optimized geometry

Structure (CIF):
```
data_NaCe3Bi12
_chemical_formula_sum 'Na1 Ce3 Bi12'
_cell_length_a 4.936
_cell_length_b 4.936
_cell_length_c 20.018
_cell_angle_alpha 90.00
_cell_angle_beta 90.00
_cell_angle_gamma 90.00
_symmetry_space_group_name_H-M 'P 4/m m m'
_symmetry_Int_Tables_number 123
_symmetry_space_group_name_Hall '-P 4 2'
loop_
_atom_site_label
_atom_site_type_symbol
_atom_site_fract_x
_atom_site_fract_y
_atom_site_fract_z
Na1 Na 0.000 0.000 0.000
Ce1 Ce 0.000 0.000 0.254
Ce2 Ce 0.000 0.000 0.500
Bi1 Bi 0.000 0.500 0.125
Bi2 Bi 0.000 0.500 0.376
Bi3 Bi 0.500 0.500 0.000
Bi4 Bi 0.500 0.500 0.249
Bi5 Bi 0.500 0.500 0.500
```

M_tot (Bohr magnetons per cell): 1.93
ΔH_f (0 K) (meV/atom): -378
Crystal system: tetragonal
N(E_F) (states/eV per cell): 18.69
Calculated volume (Å³ per atom): 30.49

Entry 11:
Material: NaCe2Bi9
Method: DFT, GGA-PBE
State: optimized geometry

Structure (CIF):
```
data_NaCe2Bi9
_chemical_formula_sum 'Na1 Ce2 Bi9'
_cell_length_a 4.923
_cell_length_b 4.923
_cell_length_c 15.111
_cell_angle_alpha 90.00
_cell_angle_beta 90.00
_cell_angle_gamma 90.00
_symmetry_space_group_name_H-M 'P 4/m m m'
_symmetry_Int_Tables_number 123
_symmetry_space_group_name_Hall '-P 4 2'
loop_
_atom_site_label
_atom_site_type_symbol
_atom_site_fract_x
_atom_site_fract_y
_atom_site_fract_z
Na1 Na 0.000 0.000 0.000
Ce1 Ce 0.000 0.000 0.340
Bi1 Bi 0.000 0.500 0.167
Bi2 Bi 0.000 0.500 0.500
Bi3 Bi 0.500 0.500 0.000
Bi4 Bi 0.500 0.500 0.330
```

M_tot (Bohr magnetons per cell): 1.46
ΔH_f (0 K) (meV/atom): -350
Crystal system: tetragonal
N(E_F) (states/eV per cell): 13.27
Calculated volume (Å³ per atom): 30.51

Entry 12:
Material: Na2CeBiO4
Method: DFT, GGA-PBE
State: optimized geometry

Structure (CIF):
```
data_Na2CeBiO4
_chemical_formula_sum 'Na2 Ce1 Bi1 O4'
_cell_length_a 5.986
_cell_length_b 3.630
_cell_length_c 6.140
_cell_angle_alpha 90.00
_cell_angle_beta 109.43
_cell_angle_gamma 90.00
_symmetry_space_group_name_H-M 'P 1 2/m 1'
_symmetry_Int_Tables_number 10
loop_
_symmetry_equiv_pos_as_xyz
'x,y,z'
'-x,-y,-z'
'-x,y,-z'
'x,-y,z'
loop_
_atom_site_label
_atom_site_type_symbol
_atom_site_fract_x
_atom_site_fract_y
_atom_site_fract_z
Na1 Na 0.000 0.000 0.000
Na2 Na 0.000 0.500 0.500
Ce1 Ce 0.500 0.000 0.500
Bi1 Bi 0.500 0.500 0.000
O1 O 0.277 0.000 0.753
O2 O 0.284 0.500 0.274
```

M_tot (Bohr magnetons per cell): 0.74
Crystal system: monoclinic
N(E_F) (states/eV per cell): 3.08
Calculated volume (Å³ per atom): 15.73
E_form (uncorrected) (eV/atom): -1.98